1.
Entry from OQMD via LeMat-Bulk: Nb3SeBrCl6 after structural relaxation (PBE).

The calculation puts the uncorrected energy at -5.451 eV/atom.

a = 6.954 Å, b = 6.954 Å, c = 6.525 Å
α = 90.00°, β = 90.00°, γ = 120.00°
Atoms (fractional coordinates):
1 Cl 0.498 0.502 0.982
2 Cl 0.835 0.165 0.423
3 Cl 0.331 0.165 0.423
4 Cl 0.004 0.502 0.982
5 Nb 0.610 0.805 0.223
6 Br 0.000 0.000 0.987
7 Nb 0.195 0.390 0.223
8 Cl 0.498 0.996 0.982
9 Se 0.333 0.667 0.516
10 Nb 0.195 0.805 0.223
11 Cl 0.835 0.669 0.423

2.
Entry from OQMD via LeMat-Bulk: YErS2Cl2 after structural relaxation (PBE).

The calculation puts the uncorrected energy at -6.016 eV/atom.

a = 3.977 Å, b = 5.349 Å, c = 8.285 Å
α = 90.00°, β = 90.00°, γ = 90.00°
Atoms (fractional coordinates):
1 S 0.000 0.500 0.090
2 Cl 0.000 0.500 0.646
3 Y 0.500 0.500 0.862
4 Er 0.000 0.000 0.139
5 S 0.500 0.000 0.914
6 Cl 0.500 0.000 0.349

Number 1: size of the total moment 0.00 μB per atom. Number 2: size of the total moment 0.00 μB per atom.